Crystalline Pu2Zn12Ga5 at its relaxed geometry, computed with PBE.

Cell lengths 9.2588, 9.2588, 13.0908 Å; angles 90.00, 90.00, 120.00 degrees
Closest atoms and distances in Å follow each position.
Space group R-3m (No. 166, hexagonal axes)
Symmetry-distinct sites (fractional):
Pu1 0.0000 0.0000 0.1740  1 Ga 2.99, 9 Zn 3.18-3.31
Zn1 0.0000 0.3140 0.5000  2 Ga 2.63, 6 Zn 2.68-2.91
Zn2 0.0185 0.5092 0.6564  6 Zn 2.54-2.75, 2 Ga 2.75
Ga1 0.0000 0.0000 0.4025  4 Ga 2.55-2.82
Ga2 0.0000 0.5000 0.0000  8 Zn 2.63-2.75, 2 Ga 2.82

Results
For the magnetization, the calculation gives 11.20 μB/f.u. The calculation puts the density of states at the Fermi level at 1.294 states/eV per atom. The calculation puts the formation energy at -0.121 eV/atom.

Crystalline LiGeB at its relaxed geometry, computed with PBE.

Cell lengths 3.6370, 3.6370, 6.0946 Å; angles 90.00, 90.00, 120.00 degrees
Closest atoms and distances in Å follow each position.
Space group P-6m2 (No. 187)
Symmetry-distinct sites (fractional):
Li1 0.0000 0.0000 0.0000  6 Ge 2.51
Li2 0.0000 0.0000 0.5000  6 B 2.31
Ge1 0.3333 0.6667 0.2268  3 B 2.22
B1 0.6667 0.3333 0.3437  1 B 1.90

Results
For the magnetization, the calculation gives 0.00 μB/f.u. The calculation puts the density of states at the Fermi level at 0.070 states/eV per atom. The calculation puts the formation energy at 0.049 eV/atom.

Crystalline MgAs2Au at its relaxed geometry, computed with PBE.

Cell lengths 3.8698, 4.1298, 4.7911 Å; angles 90.00, 90.00, 90.00 degrees
Closest atoms and distances in Å follow each position.
Space group Pmmm (No. 47)
Symmetry-distinct sites (fractional):
Mg1 0.0000 0.0000 0.0000  8 As 2.83-3.16, 4 Au 3.08
As1 0.0000 0.5000 0.5000  4 Au 2.83, 4 As 3.08, 4 Mg 3.16
As2 0.5000 0.5000 0.0000  4 Mg 2.83, 4 As 3.08, 4 Au 3.16
Au1 0.5000 0.0000 0.5000  8 As 2.83-3.16, 4 Mg 3.08

Results
For the magnetization, the calculation gives 0.00 μB/f.u. The calculation puts the density of states at the Fermi level at 0.437 states/eV per atom. The calculation puts the formation energy at -0.055 eV/atom.

Crystalline Ti2Al2W at its relaxed geometry, computed with PBE.

Cell lengths 12.9530, 4.4800, 2.8297 Å; angles 90.00, 101.46, 90.00 degrees
Closest atoms and distances in Å follow each position.
Space group C2/m (No. 12)
Symmetry-distinct sites (fractional):
Ti1 0.1030 0.0000 0.3410  2 W 2.69, 6 Al 2.79-3.00, 4 Ti 2.83-2.98
Al1 0.1942 0.5000 0.9979  1 W 2.63, 4 Al 2.67-2.83, 3 Ti 2.79-2.91
W1 0.0000 0.5000 0.5000  2 Al 2.63, 4 Ti 2.69, 2 W 2.83

Results
Its excess energy over the best structure of this formula in the dataset is 0.00 eV/f.u. For the magnetization, the calculation gives 0.00 μB/f.u. The calculation puts the density of states at the Fermi level at 0.614 states/eV per atom. The calculation puts the formation energy at -0.245 eV/atom.